[1]
First-principles (PBE-GGA) data for a geometry-optimized ZrTl2Te structure, as listed in Alexandria via LeMat-Bulk.

## Properties
Energy above the lowest structure with this stoichiometry = 0.00 kJ per mole of atoms
Symmetry = Pm (6)
Energy relative to the elements, uncorrected = -5.98 kcal/mol of atoms
Mass density = 9.2 g/cm³
Fermi-level density of states = 3.07 states/eV/cell
Raw total energy = -4.365 eV/atom

Lattice parameters (Å, degrees): 3.6220 3.6336 8.5772 90.00 90.51 90.00
Element x y z (fractional)
Zr 0.0000 0.0000 0.0000
Tl 0.0034 0.0000 0.5112
Tl 0.5017 0.5000 0.2372
Te 0.4967 0.5000 0.8305



[2]
First-principles (PBE-GGA) data for a geometry-optimized ZrTl2Te structure, as listed in Alexandria via LeMat-Bulk.

## Properties
Energy above the lowest structure with this stoichiometry = 14.73 kJ per mole of atoms
Symmetry = Imm2 (44)
Energy relative to the elements, uncorrected = -2.46 kcal/mol of atoms
Mass density = 9.3 g/cm³
Fermi-level density of states = 3.08 states/eV/cell
Raw total energy = -4.212 eV/atom

Lattice parameters (Å, degrees): 6.5787 6.5787 6.5787 148.00 131.74 59.08
Element x y z (fractional)
Zr 0.0000 0.0000 0.0000
Tl 0.4681 0.4681 0.0000
Tl 0.7537 0.2537 0.5000
Te 0.1915 0.6915 0.5000



[3]
First-principles (PBE-GGA) data for a geometry-optimized ZrTlTe2 structure, as listed in Alexandria via LeMat-Bulk.

## Properties
Symmetry = Amm2 (38)
Energy relative to the elements, uncorrected = -15.88 kcal/mol of atoms
Mass density = 7.4 g/cm³
Fermi-level density of states = 1.74 states/eV/cell
Raw total energy = -4.988 eV/atom

Lattice parameters (Å, degrees): 8.9460 3.9889 3.9889 59.99 90.00 90.00
Element x y z (fractional)
Zr 0.0000 0.0000 0.0000
Tl 0.5000 0.0007 0.0007
Te 0.2052 0.3333 0.3333
Te 0.7948 0.3333 0.3333



[4]
First-principles (PBE-GGA) data for a geometry-optimized ZrTlTe structure, as listed in Alexandria via LeMat-Bulk.

## Properties
Energy above the lowest structure with this stoichiometry = 4.92 kJ per mole of atoms
Symmetry = I4mm (107)
Energy relative to the elements, uncorrected = -8.29 kcal/mol of atoms
Mass density = 9.0 g/cm³
Fermi-level density of states = 2.47 states/eV/cell
Raw total energy = -5.045 eV/atom

Lattice parameters (Å, degrees): 6.2318 6.2318 6.2318 145.37 145.37 49.79
Element x y z (fractional)
Zr 0.0000 0.0000 0.0000
Tl 0.6801 0.6801 0.0000
Te 0.3844 0.3844 0.0000



[5]
First-principles (PBE-GGA) data for a geometry-optimized ZrTl2Te structure, as listed in Alexandria via LeMat-Bulk.

## Properties
Energy above the lowest structure with this stoichiometry = 30.14 kJ per mole of atoms
Symmetry = Cmmm (65)
Energy relative to the elements, uncorrected = 1.22 kcal/mol of atoms
Mass density = 9.9 g/cm³
Fermi-level density of states = 2.30 states/eV/cell
Raw total energy = -4.053 eV/atom

Lattice parameters (Å, degrees): 5.9419 5.9419 3.1825 90.00 90.00 110.26
Element x y z (fractional)
Zr 0.0000 0.0000 0.0000
Tl 0.0000 0.5000 0.5000
Tl 0.5000 0.0000 0.5000
Te 0.5000 0.5000 0.0000



[6]
First-principles (PBE-GGA) data for a geometry-optimized ZrTlTe4 structure, as listed in Alexandria via LeMat-Bulk.

## Properties
Energy above the lowest structure with this stoichiometry = 0.00 kJ per mole of atoms
Symmetry = C2/c (15)
Energy relative to the elements, uncorrected = -10.62 kcal/mol of atoms
Mass density = 6.5 g/cm³
Fermi-level density of states = 6.69 states/eV/cell
Raw total energy = -4.374 eV/atom

Lattice parameters (Å, degrees): 8.2378 8.2378 7.4022 112.24 112.24 95.75
Element x y z (fractional)
Zr 0.0015 0.9985 0.7500
Zr 0.9985 0.0015 0.2500
Tl 0.3755 0.6245 0.7500
Tl 0.6245 0.3755 0.2500
Te 0.0255 0.6914 0.3721
Te 0.1867 0.3068 0.2094
Te 0.3068 0.1867 0.7094
Te 0.3086 0.9745 0.1279
Te 0.6914 0.0255 0.8721
Te 0.6932 0.8133 0.2906
Te 0.8133 0.6932 0.7906
Te 0.9745 0.3086 0.6279



[7]
First-principles (PBE-GGA) data for a geometry-optimized ZrTlTe2 structure, as listed in Alexandria via LeMat-Bulk.

## Properties
Symmetry = Pnma (62)
Energy relative to the elements, uncorrected = -12.64 kcal/mol of atoms
Mass density = 7.1 g/cm³
Fermi-level density of states = 3.40 states/eV/cell
Raw total energy = -4.848 eV/atom

Lattice parameters (Å, degrees): 8.0159 5.1966 12.4456 90.00 90.00 90.00
Element x y z (fractional)
Zr 0.0895 0.2500 0.0870
Zr 0.4105 0.7500 0.5870
Zr 0.5895 0.2500 0.4130
Zr 0.9105 0.7500 0.9130
Tl 0.1920 0.7500 0.3333
Tl 0.3080 0.2500 0.8333
Tl 0.6920 0.7500 0.1667
Tl 0.8080 0.2500 0.6667
Te 0.0799 0.7500 0.7172
Te 0.2159 0.7500 0.0347
Te 0.2841 0.2500 0.5347
Te 0.4201 0.2500 0.2172
Te 0.5799 0.7500 0.7828
Te 0.7159 0.7500 0.4653
Te 0.7841 0.2500 0.9653
Te 0.9201 0.2500 0.2828



[8]
First-principles (PBE-GGA) data for a geometry-optimized ZrTlTe structure, as listed in Alexandria via LeMat-Bulk.

## Properties
Energy above the lowest structure with this stoichiometry = 44.76 kJ per mole of atoms
Symmetry = F-43m (216)
Energy relative to the elements, uncorrected = 1.23 kcal/mol of atoms
Mass density = 8.0 g/cm³
Fermi-level density of states = 4.63 states/eV/cell
Raw total energy = -4.632 eV/atom

Lattice parameters (Å, degrees): 4.9883 4.9883 4.9883 60.00 60.00 60.00
Element x y z (fractional)
Zr 0.0000 0.0000 0.0000
Tl 0.7500 0.7500 0.7500
Te 0.2500 0.2500 0.2500



[9]
First-principles (PBE-GGA) data for a geometry-optimized ZrTlTe2 structure, as listed in Alexandria via LeMat-Bulk.

## Properties
Symmetry = Immm (71)
Energy relative to the elements, uncorrected = -7.85 kcal/mol of atoms
Mass density = 6.7 g/cm³
Fermi-level density of states = 2.07 states/eV/cell
Raw total energy = -4.640 eV/atom

Lattice parameters (Å, degrees): 7.5092 7.5092 7.5092 152.21 136.30 52.58
Element x y z (fractional)
Zr 0.0000 0.0000 0.0000
Tl 0.5000 0.5000 0.0000
Te 0.1650 0.6650 0.5000
Te 0.8350 0.3350 0.5000



[10]
First-principles (PBE-GGA) data for a geometry-optimized ZrTlTe2 structure, as listed in Alexandria via LeMat-Bulk.

## Properties
Symmetry = Cmc2_1 (36)
Energy relative to the elements, uncorrected = -10.44 kcal/mol of atoms
Mass density = 8.2 g/cm³
Fermi-level density of states = 5.89 states/eV/cell
Raw total energy = -4.752 eV/atom

Lattice parameters (Å, degrees): 5.6693 5.6693 7.0341 90.00 90.00 79.07
Element x y z (fractional)
Zr 0.1496 0.8504 0.5000
Zr 0.8504 0.1496 0.0000
Tl 0.4406 0.5594 0.8768
Tl 0.5594 0.4406 0.3768
Te 0.0403 0.3513 0.6549
Te 0.3513 0.0403 0.1549
Te 0.6487 0.9597 0.6549
Te 0.9597 0.6487 0.1549



[11]
First-principles (PBE-GGA) data for a geometry-optimized ZrTl3Te structure, as listed in Alexandria via LeMat-Bulk.

## Properties
Energy above the lowest structure with this stoichiometry = 0.00 kJ per mole of atoms
Symmetry = Pm-3m (221)
Energy relative to the elements, uncorrected = 12.01 kcal/mol of atoms
Mass density = 7.3 g/cm³
Fermi-level density of states = 6.93 states/eV/cell
Raw total energy = -3.237 eV/atom

Lattice parameters (Å, degrees): 5.7475 5.7475 5.7475 90.00 90.00 90.00
Element x y z (fractional)
Zr 0.0000 0.0000 0.0000
Tl 0.0000 0.0000 0.5000
Tl 0.0000 0.5000 0.0000
Tl 0.5000 0.0000 0.0000
Te 0.5000 0.5000 0.5000



[12]
First-principles (PBE-GGA) data for a geometry-optimized Zr3Tl2Te6 structure, as listed in Alexandria via LeMat-Bulk.

## Properties
Symmetry = C2/m (12)
Energy relative to the elements, uncorrected = -17.06 kcal/mol of atoms
Mass density = 6.6 g/cm³
Fermi-level density of states = 6.04 states/eV/cell
Raw total energy = -5.215 eV/atom

Lattice parameters (Å, degrees): 6.9883 6.9883 8.9024 97.57 97.57 120.03
Element x y z (fractional)
Zr 0.0000 0.0000 0.0000
Zr 0.3307 0.6693 0.0000
Zr 0.6693 0.3307 0.0000
Tl 0.1658 0.8342 0.5000
Tl 0.8342 0.1658 0.5000
Te 0.0731 0.4038 0.2097
Te 0.2662 0.2662 0.7923
Te 0.4038 0.0731 0.2097
Te 0.5962 0.9269 0.7903
Te 0.7338 0.7338 0.2077
Te 0.9269 0.5962 0.7903